(1)
## TcBiB4 (PBE)

Data for TcBiB4 after structural relaxation.

## Properties
Polymorph energy (0 for the lowest one) (kJ per mole of atoms): 31.29
M_tot (μB per formula unit): 0.0
Final energy (eV/atom): -6.1976
SG: No. 71

Geometry as extended XYZ:
```
6
Lattice="0.498 -1.049 4.816 4.417 2.008 1.001 -4.653 1.085 -1.312" Properties=species:S:1:pos:R:3 pbc="T T T"
B -0.209 0.245 2.597
B 1.820 1.787 0.771
B -1.557 0.257 3.734
B 0.472 1.799 1.909
Bi 0.000 0.000 0.000
Tc 2.458 0.479 2.909
```

(2)
## IrI2Cl (PBE)

Data for IrI2Cl after structural relaxation.

## Properties
Polymorph energy (0 for the lowest one) (kJ per mole of atoms): 0.00
M_tot (μB per formula unit): 0.0
Final energy (eV/atom): -3.6869
SG: No. 12

Geometry as extended XYZ:
```
8
Lattice="-3.245 0.814 -5.703 0.445 -6.124 2.452 -4.845 2.588 4.395" Properties=species:S:1:pos:R:3 pbc="T T T"
Cl -1.484 -0.517 0.232
Cl -6.161 -2.205 0.912
I -3.805 -2.150 -2.876
I -2.506 -4.592 -0.005
I -5.139 1.871 1.149
I -3.840 -0.572 4.020
Ir -2.650 -0.305 -4.387
Ir -0.150 -5.005 1.136
```

(3)
## SiNiPdPt (PBE)

Data for SiNiPdPt after structural relaxation.

## Properties
Polymorph energy (0 for the lowest one) (kJ per mole of atoms): 0.00
M_tot (μB per formula unit): 0.0
Final energy (eV/atom): -5.8186
SG: No. 216

Geometry as extended XYZ:
```
4
Lattice="0.000 3.010 3.010 3.010 0.000 3.010 3.010 3.010 0.000" Properties=species:S:1:pos:R:3 pbc="T T T"
Ni 4.515 4.515 4.515
Pd 3.010 3.010 3.010
Pt 1.505 1.505 1.505
Si 0.000 0.000 0.000
```

(4)
## PmZnCo (PBE)

Data for PmZnCo after structural relaxation.

## Properties
Polymorph energy (0 for the lowest one) (kJ per mole of atoms): 0.00
M_tot (μB per formula unit): 0.7
Final energy (eV/atom): -4.0952
SG: No. 216
E_form (eV/atom): 0.277

Geometry as extended XYZ:
```
3
Lattice="3.267 -1.746 2.567 -0.506 -4.094 1.815 2.456 -3.459 -1.522" Properties=species:S:1:pos:R:3 pbc="T T T"
Co 1.304 -2.325 0.715
Pm 3.913 -6.975 2.145
Zn 0.000 0.000 0.000
```

(5)
## La3CuGeS7 (PBE)

Data for La3CuGeS7 after structural relaxation.

## Properties
M_tot (μB per formula unit): 0.0
Final energy (eV/atom): -5.8983
SG: No. 173

Geometry as extended XYZ:
```
24
Lattice="10.342 0.000 0.000 -5.171 8.956 0.000 0.000 0.000 5.901" Properties=species:S:1:pos:R:3 pbc="T T T"
Cu 0.000 0.000 1.648
Cu 0.000 0.000 4.598
Ge 5.171 2.985 0.995
Ge 0.000 5.971 3.946
La -0.532 3.192 1.476
La -2.140 7.821 1.476
La 2.672 6.900 1.476
La 5.703 5.764 4.426
La 7.312 1.136 4.426
La 2.499 2.057 4.426
S 4.850 0.950 0.107
S 3.569 4.281 0.107
S 7.094 3.725 0.107
S 0.000 5.971 0.247
S 8.220 0.794 1.570
S 1.748 1.441 1.570
S 5.545 6.722 1.570
S 1.602 4.675 3.057
S 0.321 8.006 3.057
S -1.923 5.231 3.058
S 5.171 2.985 3.197
S -0.374 2.234 4.520
S 3.423 7.516 4.520
S -3.049 8.163 4.520
```

(6)
## PrDy2N3 (PBE)

Data for PrDy2N3 after structural relaxation.

## Properties
M_tot (μB per formula unit): 0.0
Final energy (eV/atom): -8.0317
SG: No. 164

Geometry as extended XYZ:
```
6
Lattice="-2.473 -2.111 -1.357 3.317 -1.146 0.312 -1.782 -3.004 7.920" Properties=species:S:1:pos:R:3 pbc="T T T"
Dy -0.830 -2.273 0.473
Dy -0.108 -3.989 6.401
N 0.000 0.000 0.000
N 0.816 -2.431 2.296
N -1.753 -3.830 4.579
Pr -0.891 -1.502 3.960
```

(7)
## DyHo2PdPt2Pb3 (PBE)

Data for DyHo2PdPt2Pb3 after structural relaxation.

## Properties
M_tot (μB per formula unit): 0.0
Final energy (eV/atom): -5.5004
SG: No. 38

Geometry as extended XYZ:
```
9
Lattice="-1.794 0.392 3.474 6.676 -1.604 3.628 -1.802 7.346 -1.759" Properties=species:S:1:pos:R:3 pbc="T T T"
Dy 2.893 3.408 1.109
Ho 2.714 -0.652 1.475
Ho -0.733 2.987 -0.715
Pb 4.029 -0.987 4.414
Pb 0.382 1.702 2.227
Pb -2.227 5.616 0.439
Pd 0.003 0.003 0.001
Pt 2.956 1.569 3.571
Pt 0.121 4.561 1.770
```

(8)
## KHoO3 (PBE)

Data for KHoO3 after structural relaxation.

## Properties
M_tot (μB per formula unit): 2.0
Final energy (eV/atom): -5.9995
SG: No. 167

Geometry as extended XYZ:
```
10
Lattice="3.105 -1.793 -5.056 -3.105 -1.793 -5.056 0.000 3.585 -5.056" Properties=species:S:1:pos:R:3 pbc="T T T"
Ho 0.000 0.000 0.000
Ho 0.000 0.000 -7.584
K 0.000 0.000 -3.792
K 0.000 0.000 -11.377
O 1.453 -1.068 -6.320
O -0.199 -1.793 -8.849
O -1.652 -0.724 -6.320
O 1.652 0.724 -8.849
O 0.199 1.793 -6.320
O -1.453 1.068 -8.849
```

(9)
## ScAlCoAg (PBE)

Data for ScAlCoAg after structural relaxation.

## Properties
Polymorph energy (0 for the lowest one) (kJ per mole of atoms): 20.38
M_tot (μB per formula unit): 0.1
Final energy (eV/atom): -5.0726
SG: No. 216

Geometry as extended XYZ:
```
4
Lattice="0.000 3.182 3.182 3.182 0.000 3.182 3.182 3.182 0.000" Properties=species:S:1:pos:R:3 pbc="T T T"
Ag 3.182 3.182 3.182
Al 0.000 0.000 0.000
Co 4.773 4.773 4.773
Sc 1.591 1.591 1.591
```

(10)
## TlAu2Cl7 (PBE)

Data for TlAu2Cl7 after structural relaxation.

## Properties
Final energy (eV/atom): -2.5399
SG: No. 2

Geometry as extended XYZ:
```
20
Lattice="7.181 0.000 0.000 1.455 7.933 0.000 1.444 2.040 10.235" Properties=species:S:1:pos:R:3 pbc="T T T"
Au 2.504 1.366 2.035
Au 5.265 7.055 5.044
Au 4.814 2.918 5.191
Au 7.575 8.607 8.199
Cl 3.247 7.712 0.364
Cl 2.731 2.971 0.389
Cl 6.190 1.940 1.149
Cl 6.730 8.044 3.542
Cl 3.433 7.626 3.661
Cl 3.046 3.301 3.719
Cl 6.336 4.038 3.814
Cl 3.743 5.936 6.421
Cl 7.033 6.672 6.516
Cl 6.647 2.347 6.574
Cl 3.350 1.929 6.693
Cl 3.890 8.033 9.086
Cl 7.348 7.002 9.846
Cl 6.833 2.261 9.871
Tl 8.237 5.610 1.557
Tl 1.843 4.363 8.678
```

(11)
## TaSbNO (PBE)

Data for TaSbNO after structural relaxation.

## Properties
Polymorph energy (0 for the lowest one) (kJ per mole of atoms): 41.45
M_tot (μB per formula unit): 0.0
Final energy (eV/atom): -7.8168
SG: No. 129

Geometry as extended XYZ:
```
8
Lattice="4.040 0.000 0.000 0.000 4.040 0.000 0.000 0.000 7.985" Properties=species:S:1:pos:R:3 pbc="T T T"
N 3.030 3.030 3.508
N 1.010 1.010 4.476
O 3.030 1.010 0.000
O 1.010 3.030 0.000
Sb 1.010 1.010 1.140
Sb 3.030 3.030 6.845
Ta 3.030 1.010 3.992
Ta 1.010 3.030 3.992
```

(12)
## Er5Ir3 (PBE)

Data for Er5Ir3 after structural relaxation.

## Properties
Polymorph energy (0 for the lowest one) (kJ per mole of atoms): 3.82
M_tot (μB per formula unit): 0.0
Final energy (eV/atom): -6.9878
SG: No. 193
E_form (eV/atom): -0.815

Geometry as extended XYZ:
```
16
Lattice="-2.105 7.910 -0.730 -5.165 -5.876 -2.517 -2.550 -0.161 5.607" Properties=species:S:1:pos:R:3 pbc="T T T"
Er -3.125 3.315 -1.326
Er -4.145 -1.280 -1.922
Er -6.027 1.468 -1.006
Er -1.182 2.005 1.213
Er -1.973 -1.560 0.751
Er -4.400 3.234 1.478
Er -5.420 -1.361 0.882
Er -3.792 0.405 3.366
Er -3.473 5.744 3.664
Er -5.742 -4.477 2.339
Ir -1.918 4.773 0.957
Ir -3.780 -3.616 -0.130
Ir -3.483 0.756 0.131
Ir -2.736 2.976 3.920
Ir -3.934 -2.421 3.220
Ir -6.336 1.117 2.229
```